## NdSmDy6Er2 (GGA-PBE)

Data for NdSmDy6Er2 after structural relaxation.

Summary:
For the calculated formation energy, the calculation gives 0.12 eV/atom. For the total energy, the calculation gives -4.499 eV/atom.

abc: 9.5616 8.7698 8.7698
angles: 117.35 93.78 93.78
Closest atoms and distances in Å follow each position.
Fractional coordinates of all 20 atoms:
Dy  0.6810  0.0225  0.5684  2 Dy 3.19-3.52, 2 Er 3.40-3.57, 1 Nd 3.49, 1 Sm 3.54
Dy  0.3190  0.9775  0.4316  2 Dy 3.19-3.52, 2 Er 3.40-3.57, 1 Nd 3.49, 1 Sm 3.54
Sm  0.7500  0.0274  0.9726  4 Er 3.37-3.41, 4 Dy 3.54-3.66
Nd  0.7500  0.5928  0.4072  6 Dy 3.42-3.54, 2 Er 3.56
Er  0.4537  0.8046  0.7018  6 Dy 3.28-3.57, 2 Sm 3.37-3.41, 1 Nd 3.56
Dy  0.5567  0.7526  0.1181  7 Dy 3.39-3.74, 1 Er 3.47, 1 Sm 3.66
Dy  0.1192  0.7068  0.4904  4 Dy 3.19-3.55, 3 Er 3.28-3.43, 2 Nd 3.42-3.54
Dy  0.1810  0.5684  0.0225  2 Dy 3.19-3.52, 2 Er 3.40-3.57, 1 Nd 3.49, 1 Sm 3.54
Dy  0.4433  0.2474  0.8819  7 Dy 3.39-3.74, 1 Er 3.47, 1 Sm 3.66
Dy  0.8190  0.4316  0.9775  2 Dy 3.19-3.52, 2 Er 3.40-3.57, 1 Nd 3.49, 1 Sm 3.54
Dy  0.0567  0.1181  0.7526  7 Dy 3.39-3.74, 1 Er 3.47, 1 Sm 3.66
Dy  0.6192  0.4904  0.7068  4 Dy 3.19-3.55, 3 Er 3.28-3.43, 2 Nd 3.42-3.54
Dy  0.3808  0.5096  0.2932  4 Dy 3.19-3.55, 3 Er 3.28-3.43, 2 Nd 3.42-3.54
Sm  0.2500  0.9726  0.0274  4 Er 3.37-3.41, 4 Dy 3.54-3.66
Er  0.0463  0.2982  0.1954  6 Dy 3.28-3.57, 2 Sm 3.37-3.41, 1 Nd 3.56
Er  0.5463  0.1954  0.2982  6 Dy 3.28-3.57, 2 Sm 3.37-3.41, 1 Nd 3.56
Dy  0.9433  0.8819  0.2474  7 Dy 3.39-3.74, 1 Er 3.47, 1 Sm 3.66
Er  0.9537  0.7018  0.8046  6 Dy 3.28-3.57, 2 Sm 3.37-3.41, 1 Nd 3.56
Dy  0.8808  0.2932  0.5096  4 Dy 3.19-3.55, 3 Er 3.28-3.43, 2 Nd 3.42-3.54
Nd  0.2500  0.4072  0.5928  6 Dy 3.42-3.54, 2 Er 3.56